# FeHgTe2 (PBE, optimized geometry)
data_FeHgTe2
_cell_length_a 10.4122
_cell_length_b 10.4122
_cell_length_c 10.4122
_cell_angle_alpha 162.42
_cell_angle_beta 161.97
_cell_angle_gamma 25.29
_symmetry_space_group_name_H-M 'P 1'
_symmetry_Int_Tables_number 1
loop_
_symmetry_equiv_pos_as_xyz
'x,y,z'
loop_
_atom_site_label
_atom_site_type_symbol
_atom_site_fract_x
_atom_site_fract_y
_atom_site_fract_z
Te1 Te 0.6502 0.1502 0.5000
Te2 Te 0.9855 0.9855 0.0000
Fe1 Fe 0.5505 0.5505 0.0000
Hg1 Hg 0.3137 0.8137 0.5000
# Total magnetization   0.96 μB per formula unit
# Formation energy (no corrections)   0.3 eV per formula unit
# Crystal system   orthorhombic



# FeHg2Te2 (PBE, optimized geometry)
data_FeHg2Te2
_cell_length_a 5.8060
_cell_length_b 5.8060
_cell_length_c 5.8060
_cell_angle_alpha 119.70
_cell_angle_beta 119.70
_cell_angle_gamma 90.51
_symmetry_space_group_name_H-M 'P 1'
_symmetry_Int_Tables_number 1
loop_
_symmetry_equiv_pos_as_xyz
'x,y,z'
loop_
_atom_site_label
_atom_site_type_symbol
_atom_site_fract_x
_atom_site_fract_y
_atom_site_fract_z
Te1 Te 0.7500 0.2500 0.5000
Hg1 Hg 0.6690 0.6690 0.0000
Te2 Te 0.2500 0.7500 0.5000
Hg2 Hg 0.3310 0.3310 0.0000
Fe1 Fe 0.0000 0.0000 0.0000
# Total magnetization   3.31 μB per formula unit
# Formation energy (no corrections)   2.9 eV per formula unit
# Crystal system   tetragonal
# Relative energy among the computed polymorphs   0.4026 eV/atom



# FeHgTe2 (PBE, optimized geometry)
data_FeHgTe2
_cell_length_a 3.8787
_cell_length_b 3.8787
_cell_length_c 7.2529
_cell_angle_alpha 90.00
_cell_angle_beta 90.00
_cell_angle_gamma 90.00
_symmetry_space_group_name_H-M 'P 1'
_symmetry_Int_Tables_number 1
loop_
_symmetry_equiv_pos_as_xyz
'x,y,z'
loop_
_atom_site_label
_atom_site_type_symbol
_atom_site_fract_x
_atom_site_fract_y
_atom_site_fract_z
Hg1 Hg 0.5000 0.5000 0.9483
Te1 Te 0.0000 0.0000 0.7787
Fe1 Fe 0.0000 0.0000 0.4284
Te2 Te 0.5000 0.5000 0.3447
# Total magnetization   3.35 μB per formula unit
# Formation energy (no corrections)   0.8 eV per formula unit
# Crystal system   tetragonal



# FeHg2Te (PBE, optimized geometry)
data_FeHg2Te
_cell_length_a 3.3059
_cell_length_b 6.5547
_cell_length_c 6.5698
_cell_angle_alpha 46.31
_cell_angle_beta 90.00
_cell_angle_gamma 90.00
_symmetry_space_group_name_H-M 'P 1'
_symmetry_Int_Tables_number 1
loop_
_symmetry_equiv_pos_as_xyz
'x,y,z'
loop_
_atom_site_label
_atom_site_type_symbol
_atom_site_fract_x
_atom_site_fract_y
_atom_site_fract_z
Fe1 Fe 0.5000 0.7310 0.7331
Te1 Te 0.0000 0.5765 0.5776
Hg1 Hg 0.5000 0.2787 0.2797
Hg2 Hg 0.0000 0.9138 0.9096
# Total magnetization   1.98 μB per formula unit
# Formation energy (no corrections)   0.8 eV per formula unit
# Crystal system   monoclinic



# FeHgTe (PBE, optimized geometry)
data_FeHgTe
_cell_length_a 6.9593
_cell_length_b 6.9591
_cell_length_c 3.1190
_cell_angle_alpha 77.05
_cell_angle_beta 77.05
_cell_angle_gamma 25.90
_symmetry_space_group_name_H-M 'P 1'
_symmetry_Int_Tables_number 1
loop_
_symmetry_equiv_pos_as_xyz
'x,y,z'
loop_
_atom_site_label
_atom_site_type_symbol
_atom_site_fract_x
_atom_site_fract_y
_atom_site_fract_z
Hg1 Hg 0.3694 0.3694 0.6306
Fe1 Fe 0.0136 0.0136 0.9864
Te1 Te 0.6170 0.6171 0.3830
# Total magnetization   0.49 μB per formula unit
# Formation energy (no corrections)   1.0 eV per formula unit
# Crystal system   tetragonal
# Relative energy among the computed polymorphs   0.0741 eV/atom



# FeHg2Te (PBE, optimized geometry)
data_FeHg2Te
_cell_length_a 4.5918
_cell_length_b 5.1884
_cell_length_c 5.2047
_cell_angle_alpha 59.31
_cell_angle_beta 90.00
_cell_angle_gamma 90.00
_symmetry_space_group_name_H-M 'P 1'
_symmetry_Int_Tables_number 1
loop_
_symmetry_equiv_pos_as_xyz
'x,y,z'
loop_
_atom_site_label
_atom_site_type_symbol
_atom_site_fract_x
_atom_site_fract_y
_atom_site_fract_z
Hg1 Hg 0.0000 0.5765 0.5757
Fe1 Fe 0.5000 0.7500 0.7500
Hg2 Hg 0.0000 0.9235 0.9243
Te1 Te 0.5000 0.2500 0.2500
# Total magnetization   3.52 μB per formula unit
# Formation energy (no corrections)   1.4 eV per formula unit
# Crystal system   monoclinic



# FeHgTe2 (PBE, optimized geometry)
data_FeHgTe2
_cell_length_a 10.6938
_cell_length_b 10.6938
_cell_length_c 10.6938
_cell_angle_alpha 19.62
_cell_angle_beta 19.62
_cell_angle_gamma 19.62
_symmetry_space_group_name_H-M 'P 1'
_symmetry_Int_Tables_number 1
loop_
_symmetry_equiv_pos_as_xyz
'x,y,z'
loop_
_atom_site_label
_atom_site_type_symbol
_atom_site_fract_x
_atom_site_fract_y
_atom_site_fract_z
Fe1 Fe 0.5000 0.5000 0.5000
Te1 Te 0.8817 0.8817 0.8817
Hg1 Hg 0.0000 0.0000 0.0000
Te2 Te 0.1183 0.1183 0.1183
# Total magnetization   1.59 μB per formula unit
# Formation energy (no corrections)   -0.1 eV per formula unit
# Crystal system   trigonal



# FeHgTe (PBE, optimized geometry)
data_FeHgTe
_cell_length_a 3.4406
_cell_length_b 3.4406
_cell_length_c 6.4418
_cell_angle_alpha 90.00
_cell_angle_beta 90.00
_cell_angle_gamma 120.00
_symmetry_space_group_name_H-M 'P 1'
_symmetry_Int_Tables_number 1
loop_
_symmetry_equiv_pos_as_xyz
'x,y,z'
loop_
_atom_site_label
_atom_site_type_symbol
_atom_site_fract_x
_atom_site_fract_y
_atom_site_fract_z
Hg1 Hg 0.3333 0.6667 0.2805
Te1 Te 0.6667 0.3333 0.7394
Fe1 Fe 0.0000 0.0000 0.9801
# Total magnetization   1.48 μB per formula unit
# Formation energy (no corrections)   0.8 eV per formula unit
# Crystal system   trigonal
# Relative energy among the computed polymorphs   0.0000 eV/atom